Entry 1:
# PBE Sr2InSb, optimized geometry
data_Sr2InSb
_chemical_formula_sum 'Sr2 In1 Sb1'
_cell_length_a 5.4367
_cell_length_b 5.4367
_cell_length_c 4.4974
_cell_angle_alpha 90.00
_cell_angle_beta 90.00
_cell_angle_gamma 90.00
_space_group_name_H-M_alt 'P 4/m m m'
_space_group_IT_number 123
_space_group_name_Hall '-P 4 2'
loop_
_atom_site_label
_atom_site_fract_x
_atom_site_fract_y
_atom_site_fract_z
_atom_site_occupancy
Sr1 0.0000 0.5000 0.0000 1
In1 0.0000 0.0000 0.5000 1
Sb1 0.5000 0.5000 0.5000 1
# crystal system: tetragonal

Entry 2:
# PBE Sr2InSb, optimized geometry
data_Sr2InSb
_chemical_formula_sum 'Sr4 In2 Sb2'
_cell_length_a 5.2114
_cell_length_b 5.2114
_cell_length_c 9.6494
_cell_angle_alpha 90.00
_cell_angle_beta 90.00
_cell_angle_gamma 90.00
_space_group_name_H-M_alt 'I 4/m m m'
_space_group_IT_number 139
_space_group_name_Hall '-I 4 2'
loop_
_atom_site_label
_atom_site_fract_x
_atom_site_fract_y
_atom_site_fract_z
_atom_site_occupancy
Sr1 0.0000 0.5000 0.2500 1
In1 0.0000 0.0000 0.0000 1
Sb1 0.0000 0.0000 0.5000 1
# crystal system: tetragonal

Entry 3:
# PBE SrIn4Sb, optimized geometry
data_SrIn4Sb
_chemical_formula_sum 'Sr4 In16 Sb4'
_cell_length_a 8.9003
_cell_length_b 8.9003
_cell_length_c 8.9003
_cell_angle_alpha 90.00
_cell_angle_beta 90.00
_cell_angle_gamma 90.00
_space_group_name_H-M_alt 'F -4 3 m'
_space_group_IT_number 216
_space_group_name_Hall 'F -4 2 3'
loop_
_atom_site_label
_atom_site_fract_x
_atom_site_fract_y
_atom_site_fract_z
_atom_site_occupancy
Sr1 0.0000 0.0000 0.0000 1
In1 0.1245 0.1245 0.6245 1
Sb1 0.2500 0.2500 0.2500 1
# crystal system: cubic

Entry 4:
# PBE Sr3InSb3, optimized geometry
data_Sr3InSb3
_chemical_formula_sum 'Sr24 In8 Sb24'
_cell_length_a 20.9743
_cell_length_b 7.1308
_cell_length_c 13.7549
_cell_angle_alpha 90.00
_cell_angle_beta 90.00
_cell_angle_gamma 90.00
_space_group_name_H-M_alt 'C m c e'
_space_group_IT_number 64
_space_group_name_Hall '-C 2ac 2'
loop_
_atom_site_label
_atom_site_fract_x
_atom_site_fract_y
_atom_site_fract_z
_atom_site_occupancy
Sr1 0.0000 0.1892 0.1431 1
Sr2 0.1775 0.1966 0.8717 1
In1 0.0888 0.0000 0.5000 1
Sb1 0.0000 0.2213 0.3858 1
Sb2 0.1629 0.2278 0.6279 1
# crystal system: orthorhombic

Entry 5:
# PBE Sr2InSb, optimized geometry
data_Sr2InSb
_chemical_formula_sum 'Sr2 In1 Sb1'
_cell_length_a 4.0559
_cell_length_b 4.3448
_cell_length_c 7.6231
_cell_angle_alpha 90.00
_cell_angle_beta 90.00
_cell_angle_gamma 90.00
_space_group_name_H-M_alt 'P m m m'
_space_group_IT_number 47
_space_group_name_Hall '-P 2 2'
loop_
_atom_site_label
_atom_site_fract_x
_atom_site_fract_y
_atom_site_fract_z
_atom_site_occupancy
Sr1 0.0000 0.0000 0.2366 1
In1 0.5000 0.5000 0.5000 1
Sb1 0.5000 0.5000 0.0000 1
# crystal system: orthorhombic

Entry 6:
# PBE SrInSb4, optimized geometry
data_SrInSb4
_chemical_formula_sum 'Sr4 In4 Sb16'
_cell_length_a 9.0600
_cell_length_b 9.0600
_cell_length_c 9.0600
_cell_angle_alpha 90.00
_cell_angle_beta 90.00
_cell_angle_gamma 90.00
_space_group_name_H-M_alt 'F -4 3 m'
_space_group_IT_number 216
_space_group_name_Hall 'F -4 2 3'
loop_
_atom_site_label
_atom_site_fract_x
_atom_site_fract_y
_atom_site_fract_z
_atom_site_occupancy
Sr1 0.0000 0.0000 0.0000 1
In1 0.2500 0.2500 0.7500 1
Sb1 0.1240 0.1240 0.3760 1
# crystal system: cubic

So what do the calculations give for formation energy (no corrections)? Going down the list: -0.66; -0.64; -0.13; -0.83; -0.67; -0.19 eV/atom.